No. 1
A plane-wave DFT calculation with PBE was carried out for a relaxed Er4ScAl2 crystal.

Output
raw total energy: -4.76 eV/atom
crystal system: trigonal
DFT formation energy: -1.227 eV/f.u.
energy above the lowest structure with this stoichiometry: 0 meV/atom

abc: 8.480 8.480 8.480
angles: 35.12 35.12 35.12
Fractional positions:
Er (0.102, 0.102, 0.102)
Er (0.364, 0.364, 0.364)
Er (0.636, 0.636, 0.636)
Er (0.898, 0.898, 0.898)
Sc (0.500, 0.500, 0.500)
Al (0.233, 0.233, 0.233)
Al (0.767, 0.767, 0.767)

No. 2
A plane-wave DFT calculation with PBE was carried out for a relaxed Er2Sc8Al crystal.

Output
raw total energy: -5.64 eV/atom
crystal system: monoclinic
DFT formation energy: 1.443 eV/f.u.

abc: 8.523 8.523 5.243
angles: 104.26 104.26 122.60
Fractional positions:
Er (0.197, 0.803, 0.000)
Er (0.803, 0.197, 0.000)
Sc (0.093, 0.093, 0.301)
Sc (0.173, 0.397, 0.828)
Sc (0.303, 0.697, 0.500)
Sc (0.397, 0.173, 0.828)
Sc (0.603, 0.827, 0.172)
Sc (0.697, 0.303, 0.500)
Sc (0.827, 0.603, 0.172)
Sc (0.907, 0.907, 0.699)
Al (0.500, 0.500, 0.500)

No. 3
A plane-wave DFT calculation with PBE was carried out for a relaxed ErScAl6 crystal.

Output
raw total energy: -4.28 eV/atom
crystal system: cubic
DFT formation energy: -0.890 eV/f.u.
energy above the lowest structure with this stoichiometry: 288 meV/atom

abc: 5.395 5.395 5.395
angles: 90.00 90.00 90.00
Fractional positions:
Er (0.000, 0.000, 0.000)
Sc (0.500, 0.500, 0.500)
Al (0.000, 0.253, 0.500)
Al (0.000, 0.747, 0.500)
Al (0.253, 0.500, 0.000)
Al (0.500, 0.000, 0.253)
Al (0.500, 0.000, 0.747)
Al (0.747, 0.500, 0.000)